Entry 1:
DFT (PBE) results for an optimized crystal structure of Pm5Sm4Ho.

The structure belongs to space group P-1 (No. 2); the cell edges are 3.602, 9.423 and 10.856 Å and the angles 103.09°, 90.01° and 100.89°. The asymmetric unit holds Pm at (0.000, 0.000, 0.000), Pm at (0.332, 0.661, 0.972), Pm at (0.343, 0.683, 0.596), Sm at (0.175, 0.354, 0.717), Sm at (0.472, 0.944, 0.240) and Ho at (0.000, 0.000, 0.500).

The calculation puts the formation energy from the elements at 20 kJ/mol of atoms. The calculation puts the energy at -4.5139 eV/atom. As for the offset from the most stable computed form: 0.00 eV/f.u. As for the density of states at the Fermi level: 1.533 states/eV per atom. For the calculated volume, the calculation gives 35.205 Å³ per atom.



Entry 2:
DFT (PBE) results for an optimized crystal structure of Ba6Al2Tl.

The structure belongs to space group Immm (No. 71); the cell edges are 11.376, 11.629 and 12.218 Å and the angles 90.00°, 90.00° and 90.00°. The asymmetric unit holds Ba at (0.000, 0.219, 0.175), Ba at (0.179, 0.235, 0.500), Ba at (0.216, 0.500, 0.256), Al at (0.000, 0.000, 0.392), Al at (0.119, 0.000, 0.000), Tl at (0.000, 0.500, 0.000) and Tl at (0.000, 0.500, 0.500).

The calculation puts the formation energy from the elements at -12 kJ/mol of atoms. The calculation puts the energy at -2.4959 eV/atom. As for the density of states at the Fermi level: 1.378 states/eV per atom. For the calculated volume, the calculation gives 44.894 Å³ per atom.



Entry 3:
DFT (PBE) results for an optimized crystal structure of MnV2N.

The structure belongs to space group R-3m (No. 166, hexagonal axes); the cell edges are 2.8371, 2.8371 and 19.2843 Å and the angles 90.00°, 90.00° and 120.00°. The asymmetric unit holds Mn at (0.0000, 0.0000, 0.0000), V at (0.0000, 0.0000, 0.2259) and N at (0.0000, 0.0000, 0.5000).

The calculation puts the energy at -9.4939 eV/atom. The energy relative to the elements, uncorrected comes out at -0.561 eV/atom. As for the density of states at the Fermi level: 0.771 states/eV per atom. For the calculated volume, the calculation gives 11.202 Å³ per atom.



Entry 4:
DFT (PBE) results for an optimized crystal structure of SrAcSbAs.

The structure belongs to space group F-43m (No. 216); the cell edges are 7.959, 7.959 and 7.959 Å and the angles 90.00°, 90.00° and 90.00°. The asymmetric unit holds Sr at (0.000, 0.000, 0.000), Ac at (0.000, 0.000, 0.500), Sb at (0.250, 0.250, 0.250) and As at (0.250, 0.250, 0.750).

The calculation puts the energy at -4.5532 eV/atom. The energy relative to the elements, uncorrected comes out at -0.913 eV/atom. As for the density of states at the Fermi level: 0.994 states/eV per atom. For the calculated volume, the calculation gives 31.510 Å³ per atom.



Entry 5:
DFT (PBE) results for an optimized crystal structure of YAuSe2.

The structure belongs to space group P4/mmm (No. 123); the cell edges are 3.696, 3.696 and 6.515 Å and the angles 90.00°, 90.00° and 90.00°. The asymmetric unit holds Y at (0.000, 0.000, 0.000), Au at (0.000, 0.000, 0.500) and Se at (0.500, 0.500, 0.229).

The calculation puts the energy at -4.9052 eV/atom. The energy relative to the elements, uncorrected comes out at -0.728 eV/atom. As for the density of states at the Fermi level: 0.436 states/eV per atom. For the calculated volume, the calculation gives 22.247 Å³ per atom.



Entry 6:
DFT (PBE) results for an optimized crystal structure of La2PtPb.

The structure belongs to space group Amm2 (No. 38); the cell edges are 4.520, 4.389 and 11.990 Å and the angles 90.00°, 90.00° and 90.00°. The asymmetric unit holds La at (0.000, 0.000, 0.000), La at (0.500, 0.000, 0.285), Pt at (0.000, 0.000, 0.751) and Pb at (0.500, 0.000, 0.573).

The calculation puts the formation energy from the elements at -79 kJ/mol of atoms. The calculation puts the energy at -5.7241 eV/atom. As for the density of states at the Fermi level: 0.421 states/eV per atom. For the calculated volume, the calculation gives 29.732 Å³ per atom.



Entry 7:
DFT (PBE) results for an optimized crystal structure of Mn2Cu2Pd7.

The structure belongs to space group Imm2 (No. 44); the cell edges are 4.247, 11.231 and 6.940 Å and the angles 90.00°, 90.00° and 90.00°. The asymmetric unit holds Mn at (0.000, 0.209, 0.000), Cu at (0.000, 0.000, 0.793), Cu at (0.000, 0.500, 0.991), Pd at (0.000, 0.000, 0.164), Pd at (0.000, 0.140, 0.494), Pd at (0.000, 0.348, 0.708) and Pd at (0.000, 0.360, 0.292).

The calculation puts the formation energy from the elements at -10 kJ/mol of atoms. The calculation puts the energy at -5.8244 eV/atom. As for the density of states at the Fermi level: 0.671 states/eV per atom. For the calculated volume, the calculation gives 15.046 Å³ per atom.



Entry 8:
DFT (PBE) results for an optimized crystal structure of CoCuHg.

The structure belongs to space group Cm (No. 8); the cell edges are 10.663, 2.940 and 2.940 Å and the angles 90.00°, 105.73° and 90.00°. The asymmetric unit holds Co at (0.000, 0.000, 0.000), Cu at (0.367, 0.000, 0.368) and Hg at (0.182, 0.500, 0.682).

The calculation puts the formation energy from the elements at 37 kJ/mol of atoms. The calculation puts the energy at -3.4556 eV/atom. As for the offset from the most stable computed form: 0.00 eV/f.u. As for the density of states at the Fermi level: 1.332 states/eV per atom. For the calculated volume, the calculation gives 14.785 Å³ per atom.



Entry 9:
DFT (PBE) results for an optimized crystal structure of Pr4SnCl5.

The structure belongs to space group C2/m (No. 12); the cell edges are 18.048, 4.169 and 8.811 Å and the angles 90.00°, 100.48° and 90.00°. The asymmetric unit holds Pr at (0.003, 0.000, 0.250), Pr at (0.171, 0.500, 0.068), Sn at (0.000, 0.500, 0.000), Cl at (0.000, 0.500, 0.500), Cl at (0.165, 0.000, 0.824) and Cl at (0.166, 0.000, 0.300).

The calculation puts the energy at -4.8763 eV/atom. The energy relative to the elements, uncorrected comes out at -1.641 eV/atom. As for the density of states at the Fermi level: 0.467 states/eV per atom. For the calculated volume, the calculation gives 32.593 Å³ per atom.



Entry 10:
DFT (PBE) results for an optimized crystal structure of TiP2HO.

The structure belongs to space group P4/mmm (No. 123); the cell edges are 3.321, 3.321 and 4.804 Å and the angles 90.00°, 90.00° and 90.00°. The asymmetric unit holds Ti at (0.000, 0.000, 0.000), P at (0.000, 0.500, 0.500), H at (0.500, 0.500, 0.500) and O at (0.500, 0.500, 0.000).

The calculation puts the energy at -5.5704 eV/atom. As for the offset from the most stable computed form: 0.00 eV/f.u. As for the density of states at the Fermi level: 0.374 states/eV per atom. For the calculated volume, the calculation gives 10.599 Å³ per atom.



Entry 11:
DFT (PBE) results for an optimized crystal structure of NaCd2Hg4Bi.

The structure belongs to space group P4/mmm (No. 123); the cell edges are 4.353, 4.353 and 11.973 Å and the angles 90.00°, 90.00° and 90.00°. The asymmetric unit holds Na at (0.000, 0.000, 0.000), Cd at (0.500, 0.500, 0.382), Hg at (0.000, 0.500, 0.198) and Bi at (0.000, 0.000, 0.500).

The calculation puts the formation energy from the elements at -1 kJ/mol of atoms. The calculation puts the energy at -1.0382 eV/atom. As for the density of states at the Fermi level: 0.283 states/eV per atom. For the calculated volume, the calculation gives 28.361 Å³ per atom.



Entry 12:
DFT (PBE) results for an optimized crystal structure of SrUAlS6.

The structure belongs to space group P312 (No. 149); the cell edges are 6.3870, 6.3870 and 6.6322 Å and the angles 90.00°, 90.00° and 120.00°. The asymmetric unit holds Sr at (0.0000, 0.0000, 0.0000), U at (0.3333, 0.6667, 0.5000), Al at (0.6667, 0.3333, 0.5000) and S at (0.3732, 0.0152, 0.7170).

The calculation puts the energy at -5.6993 eV/atom. The energy relative to the elements, uncorrected comes out at -1.091 eV/atom. As for the density of states at the Fermi level: 1.480 states/eV per atom. For the calculated volume, the calculation gives 26.034 Å³ per atom.



Entry 13:
DFT (PBE) results for an optimized crystal structure of Sr3EuAu.

The structure belongs to space group Pm-3m (No. 221); the cell edges are 6.169, 6.169 and 6.169 Å and the angles 90.00°, 90.00° and 90.00°. The asymmetric unit holds Sr at (0.000, 0.000, 0.500), Eu at (0.500, 0.500, 0.500) and Au at (0.000, 0.000, 0.000).

The calculation puts the formation energy from the elements at -29 kJ/mol of atoms. The calculation puts the energy at -4.0187 eV/atom. As for the density of states at the Fermi level: 0.578 states/eV per atom. For the calculated volume, the calculation gives 46.947 Å³ per atom.